No. 1
Entry from the Alexandria database: a relaxed structure of Sm4InGa3 (PBE).

a = 10.4364 Å, b = 7.4329 Å, c = 5.2182 Å
α = 90.00°, β = 90.00°, γ = 90.00°
With the nearest neighbours (Å) after each atom.
Space group Pmma (No. 51)
Inequivalent atoms, fractional coordinates:
Sm (0.0000, 0.2429, 0.0000) (multiplicity 4)  6 Ga 3.17-3.23, 2 In 3.23
Sm (0.2500, 0.2429, 0.4995) (multiplicity 4)  6 Ga 3.17-3.24, 2 In 3.23
In (0.0000, 0.5000, 0.5000) (multiplicity 2)  8 Sm 3.23
Ga (0.0000, 0.0000, 0.5000) (multiplicity 2)  8 Sm 3.17
Ga (0.2500, 0.0000, 0.9994) (multiplicity 2)  8 Sm 3.17
Ga (0.2500, 0.5000, 0.9990) (multiplicity 2)  8 Sm 3.23-3.24

M_tot ... 0.000 μB/f.u.
Excess energy over the best structure of this formula in the dataset ... 0.09 eV per formula unit
E_form ... -51.88 kJ per mole of atoms
Total energy ... -4.375 eV per atom

---

No. 2
Entry from the Alexandria database: a relaxed structure of SmInGa (PBE).

a = 4.7713 Å, b = 8.1968 Å, c = 7.3205 Å
α = 90.00°, β = 90.00°, γ = 90.00°
With the nearest neighbours (Å) after each atom.
Space group Cmcm (No. 63)
Inequivalent atoms, fractional coordinates:
Sm (0.0000, 0.0000, 0.0000) (multiplicity 4)  6 Ga 3.28-3.31, 6 In 3.29-3.30, 2 Sm 3.66
In (0.0000, 0.3337, 0.2500) (multiplicity 4)  3 Ga 2.74-2.75
Ga (0.0000, 0.3322, 0.7500) (multiplicity 4)  3 In 2.74-2.75

M_tot ... 0.000 μB/f.u.
Excess energy over the best structure of this formula in the dataset ... 0.01 eV per formula unit
E_form ... -48.93 kJ per mole of atoms
Total energy ... -4.002 eV per atom

---

No. 3
Entry from the Alexandria database: a relaxed structure of Sm2InGa2 (PBE).

a = 7.3447 Å, b = 7.3447 Å, c = 4.5211 Å
α = 90.00°, β = 90.00°, γ = 90.00°
With the nearest neighbours (Å) after each atom.
Space group P4/mbm (No. 127)
Inequivalent atoms, fractional coordinates:
Sm (0.1732, 0.3268, 0.0000) (multiplicity 4)  6 Ga 3.09-3.17
In (0.0000, 0.0000, 0.5000) (multiplicity 2)  4 Ga 2.91
Ga (0.1244, 0.6244, 0.5000) (multiplicity 4)  1 Ga 2.58

M_tot ... 0.000 μB/f.u.
Excess energy over the best structure of this formula in the dataset ... 0.00 eV per formula unit
E_form ... -60.46 kJ per mole of atoms
Total energy ... -4.273 eV per atom

---

No. 4
Entry from the Alexandria database: a relaxed structure of SmInGaSn (PBE).

a = 4.4335 Å, b = 4.5713 Å, c = 4.8024 Å
α = 90.00°, β = 90.00°, γ = 90.00°
With the nearest neighbours (Å) after each atom.
Space group Pmmm (No. 47)
Inequivalent atoms, fractional coordinates:
Sm (0.0000, 0.0000, 0.0000) (multiplicity 1)  4 Ga 3.18, 4 Sn 3.27, 4 In 3.32
In (0.0000, 0.5000, 0.5000) (multiplicity 1)  4 Sn 3.18, 4 Ga 3.27, 4 Sm 3.32
Ga (0.5000, 0.5000, 0.0000) (multiplicity 1)  4 Sm 3.18, 4 In 3.27, 4 Sn 3.32
Sn (0.5000, 0.0000, 0.5000) (multiplicity 1)  4 In 3.18, 4 Sm 3.27, 4 Ga 3.32

M_tot ... 0.000 μB/f.u.
E_form ... -47.35 kJ per mole of atoms
Total energy ... -4.113 eV per atom

---

> Number 3 is which compound?

Sm2InGa2

---

> Which of these has the highest total energy?

SmInGa